Entry 1:
VASP calculation (PBE-GGA) on an optimized crystal structure of NaMg2TlPd.

Computed properties:
Crystal system   tetragonal
ΔH_f (0 K)   -0.15 eV/atom

Lattice parameters (Å, degrees): 5.090 5.090 5.279 90.00 90.00 90.00
Space group P4/mmm (No. 123)
One atom of each set of equivalent atoms:
Na1 0.000 0.000 0.000 (multiplicity 1)
Mg1 0.000 0.500 0.500 (multiplicity 2)
Tl1 0.500 0.500 0.000 (multiplicity 1)
Pd1 0.500 0.500 0.500 (multiplicity 1)


Entry 2:
VASP calculation (PBE-GGA) on an optimized crystal structure of NaMgPd2W.

Computed properties:
Crystal system   tetragonal
ΔH_f (0 K)   1.12 eV/atom

Lattice parameters (Å, degrees): 4.846 4.846 5.268 90.00 90.00 90.00
Space group P4/mmm (No. 123)
One atom of each set of equivalent atoms:
Na1 0.000 0.000 0.000 (multiplicity 1)
Mg1 0.500 0.500 0.000 (multiplicity 1)
Pd1 0.000 0.500 0.500 (multiplicity 2)
W1 0.000 0.000 0.500 (multiplicity 1)


Entry 3:
VASP calculation (PBE-GGA) on an optimized crystal structure of NaYMg2Pd.

Computed properties:
Crystal system   tetragonal
ΔH_f (0 K)   -0.18 eV/atom

Lattice parameters (Å, degrees): 5.193 5.193 5.296 90.00 90.00 90.00
Space group P4/mmm (No. 123)
One atom of each set of equivalent atoms:
Na1 0.000 0.000 0.000 (multiplicity 1)
Y1 0.500 0.500 0.000 (multiplicity 1)
Mg1 0.000 0.500 0.500 (multiplicity 2)
Pd1 0.500 0.500 0.500 (multiplicity 1)


Entry 4:
VASP calculation (PBE-GGA) on an optimized crystal structure of NaY2MgPd.

Computed properties:
Crystal system   tetragonal
ΔH_f (0 K)   -0.14 eV/atom

Lattice parameters (Å, degrees): 5.462 5.462 5.194 90.00 90.00 90.00
Space group P4/mmm (No. 123)
One atom of each set of equivalent atoms:
Na1 0.000 0.000 0.000 (multiplicity 1)
Y1 0.000 0.500 0.500 (multiplicity 2)
Mg1 0.500 0.500 0.000 (multiplicity 1)
Pd1 0.500 0.500 0.500 (multiplicity 1)


Entry 5:
VASP calculation (PBE-GGA) on an optimized crystal structure of NaMgZn2Pd.

Computed properties:
Crystal system   tetragonal
ΔH_f (0 K)   -0.12 eV/atom

Lattice parameters (Å, degrees): 4.908 4.908 4.973 90.00 90.00 90.00
Space group P4/mmm (No. 123)
One atom of each set of equivalent atoms:
Na1 0.000 0.000 0.000 (multiplicity 1)
Mg1 0.500 0.500 0.000 (multiplicity 1)
Zn1 0.000 0.500 0.500 (multiplicity 2)
Pd1 0.500 0.500 0.500 (multiplicity 1)


Entry 6:
VASP calculation (PBE-GGA) on an optimized crystal structure of NaPmMg4.

Computed properties:
Crystal system   cubic
ΔH_f (0 K)   0.03 eV/atom

Lattice parameters (Å, degrees): 8.669 8.669 8.669 90.00 90.00 90.00
Space group F-43m (No. 216)
One atom of each set of equivalent atoms:
Na1 0.000 0.000 0.000 (multiplicity 4)
Pm1 0.250 0.250 0.750 (multiplicity 4)
Mg1 0.124 0.124 0.376 (multiplicity 16)